(1)
VASP calculation (PBE-GGA) on an optimized crystal structure of Si2IrOs.

Unit cell a=2.9488 b=3.0908 c=5.8183 alpha=90.00 beta=90.00 gamma=90.00
With the nearest neighbours (Å) after each atom.
Fractional positions:
Ir 0.5000 0.5000 0.2500  8 Si 2.59
Os 0.5000 0.5000 0.7500  8 Si 2.58
Si 0.0000 0.0000 0.9980  4 Os 2.58, 4 Ir 2.59, 1 Si 2.89
Si 0.0000 0.0000 0.5020  4 Os 2.58, 4 Ir 2.59, 1 Si 2.89

Electronic total energy: -32.2 eV for the cell shown
Formation energy (no corrections): -1.2 eV per formula unit
Volume: 13.26 Å³ per atom

***

(2)
VASP calculation (PBE-GGA) on an optimized crystal structure of SmSi3IrOs.

Unit cell a=5.5844 b=6.2702 c=7.4949 alpha=114.73 beta=90.00 gamma=90.00
With the nearest neighbours (Å) after each atom.
Fractional positions:
Sm 0.7500 0.1864 0.3728  2 Si 2.86
Sm 0.2500 0.8136 0.6272  2 Si 2.86
Si 0.2500 0.2304 0.4609  1 Os 2.24, 1 Ir 2.24
Si 0.0000 0.2860 0.0000  2 Ir 2.41, 2 Os 2.44, 1 Si 2.68
Si 0.5000 0.7140 0.0000  2 Ir 2.41, 2 Os 2.44, 1 Si 2.68
Si 0.5000 0.2860 0.0000  2 Ir 2.41, 2 Os 2.44, 1 Si 2.68
Si 0.0000 0.7140 0.0000  2 Ir 2.41, 2 Os 2.44, 1 Si 2.68
Si 0.7500 0.7696 0.5391  1 Os 2.24, 1 Ir 2.24
Ir 0.2500 0.3952 0.7904  5 Si 2.24-2.41
Ir 0.7500 0.6048 0.2096  5 Si 2.24-2.41
Os 0.2500 0.0658 0.1317  5 Si 2.24-2.44
Os 0.7500 0.9342 0.8683  5 Si 2.24-2.44

Electronic total energy: -87.8 eV for the cell shown
Formation energy (no corrections): -2.8 eV per formula unit
Volume: 19.86 Å³ per atom

***

(3)
VASP calculation (PBE-GGA) on an optimized crystal structure of Sm2Si4Ir3Os.

Unit cell a=4.2063 b=4.2063 c=9.7296 alpha=90.00 beta=90.00 gamma=90.00
With the nearest neighbours (Å) after each atom.
Fractional positions:
Sm 0.5000 0.0000 0.2473  8 Si 3.20-3.22, 6 Ir 3.20-3.24, 2 Os 3.24
Sm 0.0000 0.5000 0.7527  8 Si 3.20-3.22, 6 Ir 3.20-3.24, 2 Os 3.24
Si 0.5000 0.5000 0.0000  4 Ir 2.43
Si 0.0000 0.0000 0.0000  4 Ir 2.43
Si 0.5000 0.0000 0.6255  3 Ir 2.42-2.43, 2 Os 2.43
Si 0.0000 0.5000 0.3745  3 Ir 2.42-2.43, 2 Os 2.43
Ir 0.0000 0.0000 0.5000  4 Si 2.43
Ir 0.5000 0.0000 0.8740  5 Si 2.42-2.43
Ir 0.0000 0.5000 0.1260  5 Si 2.42-2.43
Os 0.5000 0.5000 0.5000  4 Si 2.43

Electronic total energy: -78.6 eV for the cell shown
Formation energy (no corrections): -9.6 eV per formula unit
Volume: 17.21 Å³ per atom

***

(4)
VASP calculation (PBE-GGA) on an optimized crystal structure of SrSi2IrOs.

Unit cell a=4.2060 b=4.2060 c=5.9444 alpha=110.72 beta=110.72 gamma=90.00
With the nearest neighbours (Å) after each atom.
Fractional positions:
Sr 0.0000 0.0000 0.0000  8 Si 3.29, 4 Os 3.32, 4 Ir 3.32
Si 0.6363 0.6363 0.2727  2 Os 2.41, 2 Ir 2.41
Si 0.3637 0.3637 0.7273  2 Os 2.41, 2 Ir 2.41
Ir 0.7500 0.2500 0.5000  4 Si 2.41
Os 0.2500 0.7500 0.5000  4 Si 2.41

Electronic total energy: -36.1 eV for the cell shown
Formation energy (no corrections): -3.4 eV per formula unit
Volume: 18.21 Å³ per atom